VASP calculation (PBE+U) on crystalline VCuRuO6 at its relaxed geometry.

extended XYZ file:
```
18
Lattice="-1.0873 2.0987 -4.3491 -3.0280 -3.4073 1.9297 -4.5168 6.4037 4.2194" Properties=species:S:1:pos:R:3 pbc="T T T"
V -2.8634 1.8643 -1.2014
V -5.7687 3.2308 3.0013
Cu 0.0000 0.0000 0.0000
Cu -2.2584 3.2018 2.1097
Ru -3.5103 0.0290 0.8916
Ru -5.1218 5.0662 0.9083
O -3.2610 0.0077 -1.0527
O -2.7098 1.7426 -3.0957
O -6.2235 1.3830 3.0754
O -5.9223 3.3525 4.8956
O -3.0956 1.9341 0.6876
O -4.7053 2.2424 -1.5035
O -7.6320 3.5483 2.7683
O -2.4086 3.7122 -1.2755
O -3.9268 2.8527 3.3034
O -1.0001 1.5468 -0.9683
O -5.5365 3.1610 1.1123
O -5.3711 5.0874 2.8527
```

Computed properties:
The calculation puts the calculated total energy at -60.3 eV per formula unit. The symmetry is P-31c (163). As for the mass density: 5.479 g/cm3.